(1)
{"formula": "Bi2As2Rh", "functional": "PBE", "state": "optimized geometry", "dos_at_fermi_per_ev_fu": 4.2, "lattice": [[6.383, 0.000, 0.000], [0.000, 6.383, 0.000], [0.000, 0.000, 5.949]], "species": ["Bi", "Bi", "Bi", "Bi", "As", "As", "As", "As", "Rh", "Rh"], "frac_coords": [[0.189, 0.311, 0.000], [0.311, 0.811, 0.000], [0.689, 0.189, 0.000], [0.811, 0.689, 0.000], [0.141, 0.359, 0.500], [0.359, 0.859, 0.500], [0.641, 0.141, 0.500], [0.859, 0.641, 0.500], [0.000, 0.000, 0.500], [0.500, 0.500, 0.500]]}


(2)
{"formula": "CoPHBr", "functional": "PBE", "state": "optimized geometry", "dos_at_fermi_per_ev_fu": 2.2, "lattice": [[3.739, -1.575, 0.000], [3.739, 1.575, 0.000], [-1.501, 0.000, 4.970]], "species": ["Co", "P", "H", "Br"], "frac_coords": [[0.000, 0.000, 0.000], [0.713, 0.713, 0.052], [0.415, 0.415, 0.953], [0.955, 0.955, 0.498]]}


Number 1: VASP energy -4.9229 eV per atom, calculated volume 24.23 A^3/atom, spin magnetization 0.000 μB/atom. Number 2: VASP energy -4.3171 eV per atom, calculated volume 14.63 A^3/atom, spin magnetization 0.000 μB/atom.